Record 1
La2CrReP after structural relaxation, computed with PBE.

Cell: 5.6291 4.5460 5.6291 Å, 90.00 90.00 90.00°
Sites, in units of the cell vectors:
La 0.0000 0.0000 0.5000
La 0.5000 0.0000 0.0000
P 0.0000 0.5000 0.0000
Cr 0.5000 0.5000 0.5000
Re 0.0000 0.0000 0.0000

SG: P4/mmm (123)
energy relative to the elements: 0.271 eV per atom
total moment: 0.9582 μB per atom

---

Record 2
La2CrP3Rh12 after structural relaxation, computed with PBE.

Cell: 6.9914 6.9914 6.9914 Å, 75.15 75.15 75.15°
Sites, in units of the cell vectors:
La 0.3892 0.3892 0.3892
La 0.6108 0.6108 0.6108
P 0.5000 0.0000 0.0000
P 0.0000 0.5000 0.0000
P 0.0000 0.0000 0.5000
Rh 0.3308 0.9129 0.3308
Rh 0.0871 0.6692 0.6692
Rh 0.8494 0.8494 0.3582
Rh 0.9129 0.3308 0.3308
Rh 0.6692 0.6692 0.0871
Rh 0.1506 0.1506 0.6418
Rh 0.3308 0.3308 0.9129
Rh 0.6692 0.0871 0.6692
Rh 0.3582 0.8494 0.8494
Rh 0.8494 0.3582 0.8494
Rh 0.1506 0.6418 0.1506
Rh 0.6418 0.1506 0.1506
Cr 0.0000 0.0000 0.0000

SG: R-3m (166)
energy relative to the elements: -0.225 eV per atom
total moment: 0.1404 μB per atom

---

Record 3
LaCrP2Ru after structural relaxation, computed with PBE.

Cell: 3.9665 3.9665 6.2877 Å, 108.39 108.39 90.00°
Sites, in units of the cell vectors:
P 0.6385 0.6385 0.2770
P 0.3615 0.3615 0.7230
Ru 0.7500 0.2500 0.5000
Cr 0.2500 0.7500 0.5000
La 0.0000 0.0000 0.0000

SG: I-4m2 (119)
energy relative to the elements: -0.920 eV per atom
total moment: 0.5003 μB per atom

---

Record 4
LaCrP2S after structural relaxation, computed with PBE.

Cell: 4.4055 4.4055 5.0355 Å, 90.00 90.00 90.00°
Sites, in units of the cell vectors:
P 0.5000 0.0000 0.0000
P 0.0000 0.5000 0.0000
S 0.0000 0.0000 0.5000
Cr 0.0000 0.0000 0.0000
La 0.5000 0.5000 0.5000

excess energy over the best structure of this formula in the dataset: 0 meV per atom
formation energy from raw total energies: -694 meV per atom
SG: P4/mmm (123)
total moment: 0.2461 μB per atom

---

Record 5
LaCrPS2 after structural relaxation, computed with PBE.

Cell: 5.4552 5.4552 5.6331 Å, 90.00 90.00 90.00°
Sites, in units of the cell vectors:
La 0.0000 0.0000 0.0000
P 0.0000 0.0000 0.5000
S 0.5000 0.0000 0.0000
S 0.0000 0.5000 0.0000
Cr 0.5000 0.5000 0.5000

excess energy over the best structure of this formula in the dataset: 1288 meV per atom
formation energy from raw total energies: 387 meV per atom
SG: P4/mmm (123)
total moment: 0.4448 μB per atom

---

Record 6
LaCrP2S after structural relaxation, computed with PBE.

Cell: 5.4909 5.4909 5.4059 Å, 90.00 90.00 90.00°
Sites, in units of the cell vectors:
La 0.0000 0.0000 0.0000
S 0.0000 0.0000 0.5000
P 0.5000 0.0000 0.0000
P 0.0000 0.5000 0.0000
Cr 0.5000 0.5000 0.5000

excess energy over the best structure of this formula in the dataset: 1475 meV per atom
formation energy from raw total energies: 781 meV per atom
SG: P4/mmm (123)
total moment: 0.4954 μB per atom